The following is a DFT calculation (PBE) of a relaxed structure of CaHo2Cd.

Values from the calculation:
ΔE to the lowest computed polymorph in meV/atom: 34
M_tot in μB per formula unit: 0.00
E in eV/atom: -3.045
Calculated formation energy in eV per atom: -0.027
Density in g/cm³: 6.8
Space group: No. 123

Cell: 4.729 4.981 4.981 Å, 90.00 90.00 90.00°
Atoms (fractional coordinates):
Cd1 0.500 0.000 0.000
Ca1 0.500 0.500 0.500
Ho1 0.000 0.000 0.500
Ho2 0.000 0.500 0.000

The following is a DFT calculation (PBE) of a relaxed structure of Ca5HoCd6.

Values from the calculation:
M_tot in μB per formula unit: 0.00
E in eV/atom: -2.027
Calculated formation energy in eV per atom: -0.354
Density in g/cm³: 5.2
Space group: No. 71

Cell: 5.404 7.606 9.347 Å, 65.99 73.24 90.00°
Atoms (fractional coordinates):
Cd1 0.164 0.405 0.674
Cd2 0.836 0.595 0.326
Cd3 0.164 0.921 0.674
Cd4 0.836 0.079 0.326
Cd5 0.500 0.234 0.000
Cd6 0.500 0.766 0.000
Ca1 0.665 0.664 0.671
Ca2 0.000 0.500 0.000
Ca3 0.335 0.336 0.329
Ca4 0.329 0.830 0.340
Ca5 0.671 0.170 0.660
Ho1 0.000 0.000 0.000

The following is a DFT calculation (PBE) of a relaxed structure of CaHo3Cd6.

Values from the calculation:
M_tot in μB per formula unit: 0.00
E in eV/atom: -2.406
Calculated formation energy in eV per atom: -0.284
Density in g/cm³: 7.9
Space group: No. 11

Cell: 5.194 9.147 11.092 Å, 106.05 90.00 90.00°
Atoms (fractional coordinates):
Cd1 0.750 0.946 0.095
Cd2 0.250 0.839 0.305
Cd3 0.750 0.860 0.800
Cd4 0.250 0.054 0.905
Cd5 0.250 0.655 0.708
Cd6 0.750 0.161 0.695
Cd7 0.250 0.250 0.504
Cd8 0.250 0.443 0.097
Cd9 0.750 0.557 0.903
Cd10 0.750 0.750 0.496
Cd11 0.250 0.140 0.200
Cd12 0.750 0.345 0.292
Ho1 0.750 0.467 0.607
Ho2 0.250 0.533 0.393
Ho3 0.250 0.355 0.799
Ho4 0.750 0.241 0.997
Ho5 0.750 0.645 0.201
Ho6 0.250 0.759 0.003
Ca1 0.250 0.946 0.609
Ca2 0.750 0.054 0.391

The following is a DFT calculation (PBE) of a relaxed structure of CaHo3Cd4.

Values from the calculation:
M_tot in μB per formula unit: 0.00
E in eV/atom: -2.757
Calculated formation energy in eV per atom: -0.332
Density in g/cm³: 7.8
Space group: No. 123

Cell: 5.284 7.530 10.570 Å, 90.00 90.00 90.00°
Atoms (fractional coordinates):
Cd1 0.500 0.755 0.000
Cd2 0.500 0.245 0.500
Cd3 0.000 0.245 0.750
Cd4 0.000 0.755 0.250
Cd5 0.500 0.755 0.500
Cd6 0.000 0.245 0.250
Cd7 0.500 0.245 0.000
Cd8 0.000 0.755 0.750
Ho1 0.000 0.000 0.500
Ho2 0.500 0.000 0.250
Ho3 0.500 0.000 0.750
Ho4 0.500 0.500 0.750
Ho5 0.500 0.500 0.250
Ho6 0.000 0.000 0.000
Ca1 0.000 0.500 0.500
Ca2 0.000 0.500 0.000

The following is a DFT calculation (PBE) of a relaxed structure of CaHo5Cd3.

Values from the calculation:
M_tot in μB per formula unit: 0.00
E in eV/atom: -3.245
Calculated formation energy in eV per atom: -0.175
Density in g/cm³: 7.9
Space group: No. 193

Cell: 6.915 9.179 9.178 Å, 120.00 90.00 90.00°
Atoms (fractional coordinates):
Cd1 0.250 0.000 0.336
Cd2 0.750 0.000 0.664
Cd3 0.750 0.664 0.000
Cd4 0.250 0.664 0.664
Cd5 0.750 0.336 0.336
Cd6 0.250 0.336 0.000
Ho1 0.000 0.667 0.333
Ho2 0.000 0.333 0.667
Ho3 0.250 0.334 0.334
Ho4 0.500 0.333 0.667
Ho5 0.750 0.000 0.334
Ho6 0.250 0.000 0.666
Ho7 0.750 0.666 0.666
Ho8 0.500 0.667 0.333
Ho9 0.250 0.666 0.000
Ho10 0.750 0.334 0.000
Ca1 0.000 0.000 0.000
Ca2 0.500 0.000 0.000

The following is a DFT calculation (PBE) of a relaxed structure of CaHo2Cd.

Values from the calculation:
ΔE to the lowest computed polymorph in meV/atom: 68
M_tot in μB per formula unit: 0.00
E in eV/atom: -3.012
Calculated formation energy in eV per atom: 0.006
Density in g/cm³: 6.9
Space group: No. 225

Cell: 5.484 5.484 5.484 Å, 60.00 60.00 60.00°
Atoms (fractional coordinates):
Ho1 0.250 0.250 0.250
Ho2 0.750 0.750 0.750
Ca1 0.000 0.000 0.000
Cd1 0.500 0.500 0.500

The following is a DFT calculation (PBE) of a relaxed structure of CaHoCdIn.

Values from the calculation:
M_tot in μB per formula unit: 0.00
E in eV/atom: -2.974
Calculated formation energy in eV per atom: -0.415
Density in g/cm³: 6.7
Space group: No. 216

Cell: 5.342 5.342 5.342 Å, 60.00 60.00 60.00°
Atoms (fractional coordinates):
Ca1 0.000 0.000 0.000
In1 0.250 0.250 0.250
Cd1 0.750 0.750 0.750
Ho1 0.500 0.500 0.500

The following is a DFT calculation (PBE) of a relaxed structure of Li2Ca2HoCd5.

Values from the calculation:
M_tot in μB per formula unit: 0.00
E in eV/atom: -1.987
Calculated formation energy in eV per atom: -0.289
Density in g/cm³: 5.7
Space group: No. 127

Cell: 4.057 10.861 10.861 Å, 90.00 90.00 90.00°
Atoms (fractional coordinates):
Cd1 0.500 0.500 0.000
Cd2 0.500 0.000 0.500
Cd3 0.500 0.286 0.559
Cd4 0.500 0.214 0.059
Cd5 0.500 0.786 0.941
Cd6 0.500 0.714 0.441
Cd7 0.500 0.441 0.286
Cd8 0.500 0.941 0.214
Cd9 0.500 0.059 0.786
Cd10 0.500 0.559 0.714
Li1 0.000 0.383 0.117
Li2 0.000 0.883 0.383
Li3 0.000 0.617 0.883
Li4 0.000 0.117 0.617
Ca1 0.000 0.680 0.180
Ca2 0.000 0.820 0.680
Ca3 0.000 0.320 0.820
Ca4 0.000 0.180 0.320
Ho1 0.000 0.500 0.500
Ho2 0.000 0.000 0.000